CrSeF2: optimized geometry, PBE with a Hubbard U.

## Properties
Size of the total moment in μB/atom: 0.5331
Final energy in eV/atom: -4.372
Symmetry: Fm-3m, No. 225
Volume in Å³/f.u.: 57

Unit cell a=6.1138 b=6.1138 c=6.1138 alpha=90.00 beta=90.00 gamma=90.00
With the nearest neighbours (Å) after each atom.
Atoms (fractional coordinates):
Cr1 0.0000 0.0000 0.0000  8 F 2.65
Cr2 0.0000 0.5000 0.5000  8 F 2.65
Cr3 0.5000 0.0000 0.5000  8 F 2.65
Cr4 0.5000 0.5000 0.0000  8 F 2.65
Se1 0.0000 0.0000 0.5000  8 F 2.65
Se2 0.0000 0.5000 0.0000  8 F 2.65
Se3 0.5000 0.0000 0.0000  8 F 2.65
Se4 0.5000 0.5000 0.5000  8 F 2.65
F1 0.2500 0.2500 0.2500  4 Se 2.65, 4 Cr 2.65
F2 0.2500 0.2500 0.7500  4 Cr 2.65, 4 Se 2.65
F3 0.2500 0.7500 0.2500  4 Cr 2.65, 4 Se 2.65
F4 0.2500 0.7500 0.7500  4 Se 2.65, 4 Cr 2.65
F5 0.7500 0.2500 0.2500  4 Cr 2.65, 4 Se 2.65
F6 0.7500 0.2500 0.7500  4 Se 2.65, 4 Cr 2.65
F7 0.7500 0.7500 0.2500  4 Se 2.65, 4 Cr 2.65
F8 0.7500 0.7500 0.7500  4 Cr 2.65, 4 Se 2.65